18
Lattice="6.8595 0.0000 0.0000 0.0000 6.8595 0.0000 0.0000 0.0000 5.8060" Properties=species:S:1:pos:R:3 comment="La2BiRhO5, optimized geometry, DFT GGA-PBE" spacegroup="P4/mbm, No. 127" energy_ev_per_atom=-7.1189 raw_formation_energy_ev_per_atom=-2.021 m_tot_mub_per_atom=0.000 dos_at_fermi_per_ev_cell=3.9 pbc="T T T"
La 1.1670 2.2627 0.0000
La 2.2627 5.6925 0.0000
La 4.5967 1.1670 0.0000
La 5.6925 4.5967 0.0000
Bi 0.0000 0.0000 2.9030
Bi 3.4297 3.4297 2.9030
Rh 0.0000 3.4297 2.9030
Rh 3.4297 0.0000 2.9030
O 0.0000 0.0000 0.0000
O 1.0259 4.4556 1.4961
O 1.0259 4.4556 4.3099
O 2.4039 1.0259 1.4961
O 2.4039 1.0259 4.3099
O 3.4297 3.4297 0.0000
O 4.4556 5.8336 1.4961
O 4.4556 5.8336 4.3099
O 5.8336 2.4039 1.4961
O 5.8336 2.4039 4.3099

=====

12
Lattice="5.2256 0.0000 0.0000 0.0000 6.9028 0.0000 -0.1792 0.0000 5.2297" Properties=species:S:1:pos:R:3 comment="LaBi2RuO8, optimized geometry, DFT GGA-PBE" spacegroup="P2/m, No. 10" energy_ev_per_atom=-6.5916 raw_formation_energy_ev_per_atom=-1.456 m_tot_mub_per_atom=0.000 dos_at_fermi_per_ev_cell=4.4 pbc="T T T"
La 0.0000 0.0000 0.0000
Bi 2.5232 1.7497 2.6149
Bi 2.5232 5.1531 2.6149
Ru 0.0000 3.4514 0.0000
O 0.9220 1.9847 0.9730
O 0.9220 4.9181 0.9730
O 1.1537 3.4514 3.9650
O 1.5621 0.0000 3.5609
O 3.4843 0.0000 1.6688
O 3.8928 3.4514 1.2647
O 4.1244 1.9847 4.2567
O 4.1244 4.9181 4.2567

=====

12
Lattice="3.6208 -3.7261 0.0000 3.6208 3.7261 0.0000 -0.0257 0.0000 6.9086" Properties=species:S:1:pos:R:3 comment="La2BiRuO8, optimized geometry, DFT GGA-PBE" spacegroup="C2/m, No. 12" energy_ev_per_atom=-7.1185 raw_formation_energy_ev_per_atom=-1.895 m_tot_mub_per_atom=0.077 dos_at_fermi_per_ev_cell=5.6 pbc="T T T"
La 0.2125 0.0000 1.7715
La 7.0035 0.0000 5.1371
Bi 3.6208 0.0000 0.0000
Ru 3.6080 0.0000 3.4543
O 1.4132 0.0000 6.7608
O 1.7411 0.0000 3.6267
O 3.4911 1.2978 1.9261
O 3.7249 1.2978 4.9825
O 3.4911 -1.2978 1.9261
O 3.7249 -1.2978 4.9825
O 5.4748 0.0000 3.2819
O 5.8027 0.0000 0.1478

=====

10
Lattice="6.6304 0.0000 0.0000 0.0000 4.1602 0.0000 -2.3533 0.0000 7.4488" Properties=species:S:1:pos:R:3 comment="LaBiSO2, optimized geometry, DFT GGA-PBE" spacegroup="P2_1/m, No. 11" energy_ev_per_atom=-6.6214 raw_formation_energy_ev_per_atom=-2.051 m_tot_mub_per_atom=0.000 dos_at_fermi_per_ev_cell=0.0 pbc="T T T"
La 0.3132 1.0400 3.2166
La 3.9639 3.1201 4.2322
Bi -0.9020 1.0400 6.8671
Bi 5.1792 3.1201 0.5817
S 1.2525 3.1201 5.3596
S 3.0246 1.0400 2.0892
O -0.7433 3.1201 2.7382
O -1.9752 3.1201 6.6579
O 6.2523 1.0400 0.7909
O 5.0204 1.0400 4.7106

=====

10
Lattice="4.0496 0.0000 0.0000 0.0000 4.0496 0.0000 0.0000 0.0000 14.2437" Properties=species:S:1:pos:R:3 comment="LaBiS2O, optimized geometry, DFT GGA-PBE" e_above_lowest_polymorph_ev_per_atom=0.000 spacegroup="P4/nmm, No. 129" energy_ev_per_atom=-6.1665 raw_formation_energy_ev_per_atom=-1.762 m_tot_mub_per_atom=0.000 pbc="T T T"
La 1.0124 1.0124 1.2538
La 3.0372 3.0372 12.9899
Bi 1.0124 1.0124 8.9965
Bi 3.0372 3.0372 5.2472
S 1.0124 1.0124 5.6101
S 1.0124 1.0124 11.5212
S 3.0372 3.0372 2.7226
S 3.0372 3.0372 8.6336
O 1.0124 3.0372 0.0000
O 3.0372 1.0124 0.0000

=====

10
Lattice="4.0344 0.0000 0.0000 0.0000 4.0344 0.0000 0.0000 0.0000 14.4148" Properties=species:S:1:pos:R:3 comment="LaBiS2O, optimized geometry, DFT GGA-PBE" e_above_lowest_polymorph_ev_per_atom=0.278 spacegroup="P4/nmm, No. 129" energy_ev_per_atom=-5.8889 raw_formation_energy_ev_per_atom=-1.485 m_tot_mub_per_atom=0.000 dos_at_fermi_per_ev_cell=2.9 pbc="T T T"
La 1.0086 1.0086 1.8842
La 3.0258 3.0258 12.5306
Bi 1.0086 1.0086 8.4399
Bi 3.0258 3.0258 5.9748
S 1.0086 1.0086 4.5056
S 1.0086 1.0086 13.1334
S 3.0258 3.0258 1.2814
S 3.0258 3.0258 9.9091
O 1.0086 3.0258 7.2074
O 3.0258 1.0086 7.2074

=====

Repeat the fifth record exactly.
10
Lattice="4.0496 0.0000 0.0000 0.0000 4.0496 0.0000 0.0000 0.0000 14.2437" Properties=species:S:1:pos:R:3 comment="LaBiS2O, optimized geometry, DFT GGA-PBE" e_above_lowest_polymorph_ev_per_atom=0.000 spacegroup="P4/nmm, No. 129" energy_ev_per_atom=-6.1665 raw_formation_energy_ev_per_atom=-1.762 m_tot_mub_per_atom=0.000 pbc="T T T"
La 1.0124 1.0124 1.2538
La 3.0372 3.0372 12.9899
Bi 1.0124 1.0124 8.9965
Bi 3.0372 3.0372 5.2472
S 1.0124 1.0124 5.6101
S 1.0124 1.0124 11.5212
S 3.0372 3.0372 2.7226
S 3.0372 3.0372 8.6336
O 1.0124 3.0372 0.0000
O 3.0372 1.0124 0.0000

=====

What did the first record say?
18
Lattice="6.8595 0.0000 0.0000 0.0000 6.8595 0.0000 0.0000 0.0000 5.8060" Properties=species:S:1:pos:R:3 comment="La2BiRhO5, optimized geometry, DFT GGA-PBE" spacegroup="P4/mbm, No. 127" energy_ev_per_atom=-7.1189 raw_formation_energy_ev_per_atom=-2.021 m_tot_mub_per_atom=0.000 dos_at_fermi_per_ev_cell=3.9 pbc="T T T"
La 1.1670 2.2627 0.0000
La 2.2627 5.6925 0.0000
La 4.5967 1.1670 0.0000
La 5.6925 4.5967 0.0000
Bi 0.0000 0.0000 2.9030
Bi 3.4297 3.4297 2.9030
Rh 0.0000 3.4297 2.9030
Rh 3.4297 0.0000 2.9030
O 0.0000 0.0000 0.0000
O 1.0259 4.4556 1.4961
O 1.0259 4.4556 4.3099
O 2.4039 1.0259 1.4961
O 2.4039 1.0259 4.3099
O 3.4297 3.4297 0.0000
O 4.4556 5.8336 1.4961
O 4.4556 5.8336 4.3099
O 5.8336 2.4039 1.4961
O 5.8336 2.4039 4.3099